# 1
Density functional theory data (PBE) for TbZr2NiN4 after structural relaxation. Values from VASP.

Cell and atoms, written as Quantum ESPRESSO input:
```
&SYSTEM
  ibrav = 0, nat = 16, ntyp = 4
/
ATOMIC_SPECIES
Tb 158.93 Tb.upf
Zr 91.22 Zr.upf
Ni 58.69 Ni.upf
N 14.01 N.upf
ATOMIC_POSITIONS angstrom
Tb 0.0000 1.2130 8.3349
Tb 1.6193 4.2556 2.7783
Zr 0.0000 4.0251 6.1758
Zr 1.6193 1.4435 0.6192
Zr 1.6193 1.4435 4.9374
Zr 0.0000 4.0251 10.4940
Ni 1.6193 3.8055 8.3349
Ni 0.0000 1.6631 2.7783
N 0.0000 2.9557 1.2913
N 1.6193 2.5129 6.8479
N 1.6193 2.5129 9.8219
N 0.0000 2.9557 4.2653
N 0.0000 0.0000 5.5566
N 0.0000 0.0000 0.0000
N 0.0000 4.9180 8.3349
N 1.6193 0.5506 2.7783
CELL_PARAMETERS angstrom
3.2386 0.0000 0.0000
-1.6193 5.4686 0.0000
0.0000 0.0000 11.1132
```



# 2
Density functional theory data (PBE) for TcNi3N after structural relaxation. Values from VASP.

Cell and atoms, written as Quantum ESPRESSO input:
```
&SYSTEM
  ibrav = 0, nat = 5, ntyp = 3
/
ATOMIC_SPECIES
Ni 58.69 Ni.upf
Tc 98.00 Tc.upf
N 14.01 N.upf
ATOMIC_POSITIONS angstrom
Ni 0.5843 -1.8738 1.0655
Ni 0.4746 1.1887 1.8302
Ni -2.1026 -0.2525 0.7092
Tc 0.0000 0.0000 0.0000
N -1.0437 -0.9375 3.6049
CELL_PARAMETERS angstrom
-4.2053 -0.5049 1.4183
1.1687 -3.7476 2.1310
0.9491 2.3774 3.6604
```



# 3
Density functional theory data (PBE) for TcNiN2 after structural relaxation. Values from VASP.

Cell and atoms, written as Quantum ESPRESSO input:
```
&SYSTEM
  ibrav = 0, nat = 4, ntyp = 3
/
ATOMIC_SPECIES
Ni 58.69 Ni.upf
Tc 98.00 Tc.upf
N 14.01 N.upf
ATOMIC_POSITIONS angstrom
Ni 0.0000 0.0000 0.0000
Tc 0.0000 0.0000 9.2933
N 0.0000 0.0000 16.7819
N 0.0000 0.0000 1.8047
CELL_PARAMETERS angstrom
1.6184 0.0000 6.1956
-0.8092 1.4016 6.1956
-0.8092 -1.4016 6.1956
```



# 4
Density functional theory data (PBE) for TcNiN after structural relaxation. Values from VASP.

Cell and atoms, written as Quantum ESPRESSO input:
```
&SYSTEM
  ibrav = 0, nat = 3, ntyp = 3
/
ATOMIC_SPECIES
Ni 58.69 Ni.upf
Tc 98.00 Tc.upf
N 14.01 N.upf
ATOMIC_POSITIONS angstrom
Ni -3.2613 0.8531 2.8637
Tc -1.1179 -0.4130 2.0050
N -1.8673 1.1031 0.7481
CELL_PARAMETERS angstrom
-1.1055 -2.3368 0.6862
1.0919 0.1980 2.4335
-3.6597 3.2352 -0.0910
```



# 5
Density functional theory data (PBE) for TcNiN2 after structural relaxation. Values from VASP.

Cell and atoms, written as Quantum ESPRESSO input:
```
&SYSTEM
  ibrav = 0, nat = 8, ntyp = 3
/
ATOMIC_SPECIES
Ni 58.69 Ni.upf
Tc 98.00 Tc.upf
N 14.01 N.upf
ATOMIC_POSITIONS angstrom
Ni 2.2264 2.2264 0.0000
Ni 2.2264 4.4528 2.2539
Tc 0.0000 0.0000 0.0000
Tc 4.4528 2.2264 2.2539
N 3.3443 1.1132 1.1269
N 1.1085 3.3396 1.1269
N 3.3396 3.3349 3.3808
N 5.5660 5.5707 3.3808
CELL_PARAMETERS angstrom
4.4528 0.0000 0.0000
0.0000 4.4528 0.0000
2.2264 2.2264 4.5078
```



# 6
Density functional theory data (PBE) for TcNi2N after structural relaxation. Values from VASP.

Cell and atoms, written as Quantum ESPRESSO input:
```
&SYSTEM
  ibrav = 0, nat = 8, ntyp = 3
/
ATOMIC_SPECIES
Ni 58.69 Ni.upf
Tc 98.00 Tc.upf
N 14.01 N.upf
ATOMIC_POSITIONS angstrom
Ni 4.1869 1.5918 0.5335
Ni 2.1804 4.7755 0.5335
Ni 4.7755 5.3641 1.6005
Ni 7.9592 7.3706 1.6005
Tc 0.0000 0.0000 0.0000
Tc 6.3674 3.1837 1.0670
N 3.1837 3.1837 0.0000
N 3.1837 6.3674 1.0670
CELL_PARAMETERS angstrom
6.3674 0.0000 0.0000
0.0000 6.3674 0.0000
3.1837 3.1837 2.1340
```



# 7
Density functional theory data (PBE) for Tc3NiN after structural relaxation. Values from VASP.

Cell and atoms, written as Quantum ESPRESSO input:
```
&SYSTEM
  ibrav = 0, nat = 5, ntyp = 3
/
ATOMIC_SPECIES
Ni 58.69 Ni.upf
Tc 98.00 Tc.upf
N 14.01 N.upf
ATOMIC_POSITIONS angstrom
Ni 0.0000 0.0000 0.0000
Tc 0.0000 2.2051 0.0000
Tc 0.0000 0.0000 2.2051
Tc 2.2051 0.0000 0.0000
N 2.2051 2.2051 2.2051
CELL_PARAMETERS angstrom
4.4101 0.0000 0.0000
0.0000 4.4101 0.0000
0.0000 0.0000 4.4101
```



# 8
Density functional theory data (PBE) for TcNiN2 after structural relaxation. Values from VASP.

Cell and atoms, written as Quantum ESPRESSO input:
```
&SYSTEM
  ibrav = 0, nat = 4, ntyp = 3
/
ATOMIC_SPECIES
Ni 58.69 Ni.upf
Tc 98.00 Tc.upf
N 14.01 N.upf
ATOMIC_POSITIONS angstrom
Ni 0.0000 0.0000 0.0000
Tc -4.3029 0.9001 -1.0421
N -2.1515 0.4500 -0.5211
N -6.4544 1.3501 -1.5632
CELL_PARAMETERS angstrom
-3.5177 -0.7256 0.8406
-2.5440 2.6589 -0.2570
-2.5441 -0.1331 -2.6678
```



Q: Which E values were calculated for the entries above? A: -8.88; -4.81; -7.98; -7.75; -8.11; -7.19; -6.42; -7.31, in eV/atom.
Q: Which DOS at the Fermi energy values were calculated for the entries above? A: 4.5; 6.4; 1.4; 2.8; 5.0; 4.3; 7.7; 4.1, in states/eV/cell.